Record 1
This record from Alexandria via LeMat-Bulk describes crystalline LaAuSCl2 at its relaxed geometry. The functional is PBE.

Calculated values
Distance to the lowest polymorph of the same formula in meV/atom: 165
E_form (uncorrected) in eV per atom: -0.727
Total magnetization in μB per atom: 0.08

a b c (Å): 5.0669 5.0669 4.9771
angles (deg): 90.00 90.00 90.00
Space group P4/mmm (No. 123)
Inequivalent atoms, fractional coordinates:
La 0.0000 0.0000 0.0000 x1
Au 0.5000 0.5000 0.5000 x1
S 0.5000 0.5000 0.0000 x1
Cl 0.0000 0.5000 0.5000 x2

=====

Record 2
This record from Alexandria via LeMat-Bulk describes crystalline CaMoRh2 at its relaxed geometry. The functional is PBE.

Calculated values
Distance to the lowest polymorph of the same formula in meV/atom: 496
Formation energy in meV per atom: 354
Total magnetization in μB per atom: 0.04

a b c (Å): 2.8891 2.8891 28.4257
angles (deg): 90.00 90.00 120.00
Space group R3m (No. 160, hexagonal axes)
Inequivalent atoms, fractional coordinates:
Ca 0.0000 0.0000 0.0000 x3
Mo 0.0000 0.0000 0.2339 x3
Rh 0.0000 0.0000 0.4955 x3
Rh 0.0000 0.0000 0.7472 x3

=====

Record 3
This record from Alexandria via LeMat-Bulk describes crystalline Ba2Tl6Rh at its relaxed geometry. The functional is PBE.

Calculated values
Distance to the lowest polymorph of the same formula in meV/atom: 41
Formation energy in meV per atom: -213
Total magnetization in μB per atom: 0.00

a b c (Å): 7.2984 7.2984 17.8955
angles (deg): 90.00 90.00 120.00
Space group R-3m (No. 166, hexagonal axes)
Inequivalent atoms, fractional coordinates:
Ba 0.0000 0.0000 0.2502 x6
Tl 0.0284 0.5142 0.2425 x18
Rh 0.0000 0.0000 0.0000 x3

=====

Record 4
This record from Alexandria via LeMat-Bulk describes crystalline Li2ScV at its relaxed geometry. The functional is PBE.

Calculated values
Distance to the lowest polymorph of the same formula in meV/atom: 0
Formation energy in meV per atom: 502
Total magnetization in μB per atom: 0.76

a b c (Å): 6.6082 6.6082 6.6082
angles (deg): 90.00 90.00 90.00
Space group Fm-3m (No. 225)
Inequivalent atoms, fractional coordinates:
Li 0.2500 0.2500 0.2500 x8
Sc 0.0000 0.0000 0.0000 x4
V 0.0000 0.0000 0.5000 x4